# NaSnPb3 (PBE-GGA, relaxed)
data_NaSnPb3
_chemical_formula_sum 'Na1 Sn1 Pb3'
_space_group_name_H-M_alt 'P m -3 m'
_space_group_IT_number 221
_space_group_name_Hall '-P 4 2 3'
_cell_length_a 5.5286
_cell_length_b 5.5286
_cell_length_c 5.5286
_cell_angle_alpha 90.00
_cell_angle_beta 90.00
_cell_angle_gamma 90.00
loop_
_atom_site_label
_atom_site_fract_x
_atom_site_fract_y
_atom_site_fract_z
Na1 0.0000 0.0000 0.0000
Sn1 0.5000 0.5000 0.5000
Pb1 0.0000 0.0000 0.5000
# Calculated formation energy, meV/atom: 487
# Magnetic moment, Bohr magnetons per cell: 0.00
# E above lowest polymorph, meV per atom: 542.4